Arrangement 1

Density functional theory data (GGA-PBE) for a relaxed structure of SnTePI2.

Summary:
- space group = P4/mmm
- magnetic moment (μB/f.u.) = 0.0

Cell and atoms, written as POSCAR:
```
SnTePI2
1.0
5.363 0.000 0.000
0.000 5.363 0.000
0.000 0.000 5.615
I P Te Sn
2 1 1 1
Direct
0.000 0.500 0.000
0.500 0.000 0.000
0.000 0.000 0.000
0.000 0.000 0.500
0.500 0.500 0.500
```

Arrangement 2

Density functional theory data (GGA-PBE) for a relaxed structure of SnTePI2.

Summary:
- space group = P4/mmm
- magnetic moment (μB/f.u.) = 1.6

Cell and atoms, written as POSCAR:
```
SnTePI2
1.0
5.962 0.000 0.000
0.000 5.962 0.000
0.000 0.000 5.990
I P Te Sn
2 1 1 1
Direct
0.000 0.500 0.000
0.500 0.000 0.000
0.500 0.500 0.500
0.000 0.000 0.500
0.000 0.000 0.000
```

Energy relative to the most stable one, in kJ/mol of atoms: arrangement 1 0.0; arrangement 2 42.6

Arrangement 1

Density functional theory data (GGA-PBE) for a relaxed structure of Sr2P2I.

Summary:
- space group = P4/mbm
- magnetic moment (μB/f.u.) = 0.0

Cell and atoms, written as POSCAR:
```
Sr2P2I
1.0
-1.582 7.645 3.476
-6.664 1.010 -5.254
-2.364 -1.704 2.671
I Sr P
2 4 4
Direct
0.000 0.000 0.000
0.500 0.500 0.000
0.185 0.685 0.500
0.685 0.815 0.500
0.815 0.315 0.500
0.315 0.185 0.500
0.411 0.911 0.000
0.911 0.589 0.000
0.589 0.089 0.000
0.089 0.411 0.000
```

Arrangement 2

Density functional theory data (GGA-PBE) for a relaxed structure of Sr2P2I.

Summary:
- space group = Imma
- magnetic moment (μB/f.u.) = 0.0

Cell and atoms, written as POSCAR:
```
Sr2P2I
1.0
4.334 0.000 0.000
0.000 8.403 -0.972
-2.167 -3.214 9.038
Sr P I
4 4 2
Direct
0.653 0.153 0.306
0.653 0.653 0.306
0.347 0.847 0.694
0.347 0.347 0.694
0.827 0.537 0.574
0.254 0.963 0.426
0.173 0.463 0.426
0.746 0.037 0.574
0.654 0.750 0.000
0.346 0.250 0.000
```

Energy relative to the most stable one, in kJ/mol of atoms: arrangement 1 13.3; arrangement 2 0.0

Arrangement 1

Density functional theory data (GGA-PBE) for a relaxed structure of SrPI2.

Summary:
- space group = I-42d
- magnetic moment (μB/f.u.) = 0.0

Cell and atoms, written as POSCAR:
```
SrPI2
1.0
-3.970 0.637 -3.711
-2.412 -4.571 1.795
-8.531 3.460 5.688
I Sr P
4 2 2
Direct
0.592 0.125 0.250
0.158 0.625 0.250
0.375 0.408 0.750
0.875 0.842 0.750
0.000 0.000 0.000
0.750 0.250 0.500
0.500 0.500 0.000
0.250 0.750 0.500
```

Arrangement 2

Density functional theory data (GGA-PBE) for a relaxed structure of SrPI2.

Summary:
- space group = Fm-3m
- magnetic moment (μB/f.u.) = 3.0

Cell and atoms, written as POSCAR:
```
SrPI2
1.0
-2.168 0.478 5.374
0.175 5.114 2.761
-4.907 2.987 0.900
I Sr P
2 1 1
Direct
0.250 0.250 0.250
0.750 0.750 0.750
0.500 0.500 0.500
0.000 0.000 0.000
```

Energy relative to the most stable one, in kJ/mol of atoms: arrangement 1 5.0; arrangement 2 0.0

Arrangement 1

Density functional theory data (GGA-PBE) for a relaxed structure of SrP3I.

Summary:
- space group = Pm-3m
- magnetic moment (μB/f.u.) = 2.4

Cell and atoms, written as POSCAR:
```
SrP3I
1.0
5.707 0.000 0.000
0.000 5.707 0.000
0.000 0.000 5.707
I Sr P
1 1 3
Direct
0.500 0.500 0.500
0.000 0.000 0.000
0.000 0.500 0.000
0.000 0.000 0.500
0.500 0.000 0.000
```

Arrangement 2

Density functional theory data (GGA-PBE) for a relaxed structure of SrP3I.

Summary:
- space group = Pm-3m
- magnetic moment (μB/f.u.) = 0.0

Cell and atoms, written as POSCAR:
```
SrP3I
1.0
-2.237 -4.354 1.715
4.679 -2.122 0.715
0.101 1.855 4.843
I Sr P
1 1 3
Direct
0.000 0.000 0.000
0.500 0.500 0.500
0.000 0.500 0.000
0.000 0.000 0.500
0.500 0.000 0.000
```

Energy relative to the most stable one, in kJ/mol of atoms: arrangement 1 68.2; arrangement 2 0.0